[1]
# Ce4GaGe2 | Alexandria via LeMat-Bulk | GGA-PBE | optimized geometry
data_Ce4GaGe2
_chemical_formula_sum 'Ce16 Ga4 Ge8'
_cell_length_a 8.935
_cell_length_b 8.935
_cell_length_c 9.012
_cell_angle_alpha 90.00
_cell_angle_beta 90.00
_cell_angle_gamma 90.00
_symmetry_space_group_name_H-M 'I -4 2 d'
_symmetry_Int_Tables_number 122
_symmetry_space_group_name_Hall 'I -4 2bw'
loop_
_atom_site_label
_atom_site_fract_x
_atom_site_fract_y
_atom_site_fract_z
Ce1 0.076 0.674 0.446
Ga1 0.000 0.000 0.500
Ge1 0.126 0.750 0.125
# DOS at the Fermi energy (states/eV per cell): 70.58
# Calculated volume (A^3/atom): 25.70
# Total magnetic moment (μB/atom): 0.388
# E_form (meV per atom): -574
# Raw total energy (eV per cell): -160.048



[2]
# NbRh3I | Alexandria via LeMat-Bulk | GGA-PBE | optimized geometry
data_NbRh3I
_chemical_formula_sum 'Nb1 Rh3 I1'
_cell_length_a 4.807
_cell_length_b 4.807
_cell_length_c 4.807
_cell_angle_alpha 90.00
_cell_angle_beta 90.00
_cell_angle_gamma 90.00
_symmetry_space_group_name_H-M 'P m -3 m'
_symmetry_Int_Tables_number 221
_symmetry_space_group_name_Hall '-P 4 2 3'
loop_
_atom_site_label
_atom_site_fract_x
_atom_site_fract_y
_atom_site_fract_z
Nb1 0.000 0.000 0.000
Rh1 0.000 0.000 0.500
I1 0.500 0.500 0.500
# DOS at the Fermi energy (states/eV per cell): 2.94
# Calculated volume (A^3/atom): 22.22
# Total magnetic moment (μB/atom): 0.000
# ΔE_f (raw) (eV/f.u.): 4.888
# Raw total energy (eV per cell): -28.786



[3]
# LaNdDyPu | Alexandria via LeMat-Bulk | GGA-PBE | optimized geometry
data_LaNdDyPu
_chemical_formula_sum 'La4 Nd4 Dy4 Pu4'
_cell_length_a 8.081
_cell_length_b 8.081
_cell_length_c 8.081
_cell_angle_alpha 90.00
_cell_angle_beta 90.00
_cell_angle_gamma 90.00
_symmetry_space_group_name_H-M 'F -4 3 m'
_symmetry_Int_Tables_number 216
_symmetry_space_group_name_Hall 'F -4 2 3'
loop_
_atom_site_label
_atom_site_fract_x
_atom_site_fract_y
_atom_site_fract_z
La1 0.000 0.000 0.000
Nd1 0.000 0.000 0.500
Dy1 0.250 0.250 0.750
Pu1 0.250 0.250 0.250
# DOS at the Fermi energy (states/eV per cell): 56.18
# Calculated volume (A^3/atom): 32.98
# Total magnetic moment (μB/atom): 1.923
# E_form (meV per atom): 210
# Raw total energy (eV per cell): -111.165